Model one:
First-principles (PBE) data for a relaxed structure of ZnHg2HI, as listed in Alexandria via LeMat-Bulk.

Properties
- Crystal system: tetragonal
- Space-group type: P4/mmm, No. 123
- Total magnetization: 0.0 μB/f.u.

Structure (extended XYZ):
```
5
Lattice="-3.142 2.424 -4.756 -3.310 -0.855 1.751 0.047 5.531 2.788" Properties=species:S:1:pos:R:3 pbc="T T T"
I -1.655 -0.427 0.876
H 0.000 0.000 0.000
Zn -3.203 3.550 -0.109
Hg 0.023 2.766 1.394
Hg -1.571 1.212 -2.378
```


Model two:
First-principles (PBE) data for a relaxed structure of ZnHg2HI, as listed in Alexandria via LeMat-Bulk.

Properties
- Crystal system: tetragonal
- Space-group type: P4/mmm, No. 123
- Total magnetization: 1.0 μB/f.u.

Structure (extended XYZ):
```
5
Lattice="8.131 0.000 0.000 0.000 5.368 0.000 0.000 0.000 8.131" Properties=species:S:1:pos:R:3 pbc="T T T"
I 0.000 0.000 0.000
H 4.065 2.684 4.065
Zn 0.000 2.684 0.000
Hg 0.000 0.000 4.065
Hg 4.065 0.000 0.000
```


Result of the stability comparison: model one is the most stable of them.